Record 1
Computed, not measured: a relaxed structure of Pm7NdEr4 at the PBE level of DFT.

energy relative to the lowest polymorph listed for this composition: 206 meV/atom
SG: No. 12
DFT formation energy: 0.207 eV per atom

Cell: 5.982 9.705 8.589 Å, 61.81 69.62 72.05°
Fractional positions:
Pm 0.785 0.885 0.545
Pm 0.215 0.115 0.455
Pm 0.087 0.547 0.279
Pm 0.913 0.453 0.721
Pm 0.214 0.758 0.814
Pm 0.500 0.000 0.000
Pm 0.786 0.242 0.186
Nd 0.000 0.000 0.000
Er 0.570 0.301 0.558
Er 0.430 0.699 0.442
Er 0.669 0.620 0.042
Er 0.331 0.380 0.958

Record 2
Computed, not measured: a relaxed structure of Pm3Nd5Er2 at the PBE level of DFT.

energy relative to the lowest polymorph listed for this composition: 186 meV/atom
SG: No. 72
DFT formation energy: 0.359 eV per atom

Cell: 11.144 10.055 10.055 Å, 56.50 56.35 56.35°
Fractional positions:
Pm 0.250 0.000 0.000
Pm 0.750 0.000 0.000
Pm 0.374 0.376 0.875
Pm 0.626 0.624 0.125
Pm 0.874 0.875 0.376
Pm 0.126 0.125 0.624
Nd 0.250 0.500 0.500
Nd 0.750 0.500 0.500
Nd 0.499 0.751 0.751
Nd 0.001 0.249 0.249
Nd 0.501 0.249 0.249
Nd 0.999 0.751 0.751
Nd 0.122 0.480 0.275
Nd 0.878 0.520 0.725
Nd 0.622 0.275 0.480
Nd 0.378 0.725 0.520
Er 0.124 0.792 0.960
Er 0.876 0.208 0.040
Er 0.624 0.960 0.792
Er 0.376 0.040 0.208